Crystalline ZrTc2Se at its relaxed geometry, computed with PBE-GGA.

Cell lengths 9.8269, 3.1257, 4.6574 Å; angles 90.00, 108.35, 90.00 degrees
Sites, in units of the cell vectors:
Zr1 0.0000 0.0000 0.0000
Zr2 0.5000 0.5000 0.0000
Tc1 0.0002 0.5000 0.5151
Tc2 0.2286 0.0000 0.6366
Tc3 0.5002 0.0000 0.5151
Tc4 0.7286 0.5000 0.6366
Se1 0.2691 0.5000 0.2458
Se2 0.7691 0.0000 0.2458

## Properties
uncorrected formation energy: -42 kJ/mol of formula units
VASP energy: -8.3006 eV per atom

***

Crystalline Te5Se at its relaxed geometry, computed with PBE-GGA.

Cell lengths 4.1610, 4.3417, 22.0042 Å; angles 90.00, 90.00, 90.00 degrees
Sites, in units of the cell vectors:
Te1 0.0000 0.0000 0.0000
Te2 0.0000 0.0000 0.3254
Te3 0.0000 0.5000 0.5000
Te4 0.0000 0.5000 0.8254
Te5 0.5000 0.0000 0.2354
Te6 0.5000 0.0000 0.5769
Te7 0.5000 0.0000 0.9077
Te8 0.5000 0.5000 0.0769
Te9 0.5000 0.5000 0.4077
Te10 0.5000 0.5000 0.7354
Se1 0.0000 0.0000 0.6567
Se2 0.0000 0.5000 0.1567

## Properties
uncorrected formation energy: 75 kJ/mol of formula units
distance to the lowest polymorph of the same formula: 0.03 eV/f.u.
VASP energy: -3.0686 eV per atom

***

Crystalline TeSe3 at its relaxed geometry, computed with PBE-GGA.

Cell lengths 7.4393, 17.1747, 3.7761 Å; angles 90.00, 90.00, 90.00 degrees
Sites, in units of the cell vectors:
Te1 0.0000 0.1569 0.2500
Te2 0.0000 0.8431 0.7500
Te3 0.5000 0.3431 0.7500
Te4 0.5000 0.6569 0.2500
Se1 0.0000 0.3592 0.7500
Se2 0.0000 0.6408 0.2500
Se3 0.2468 0.3937 0.2500
Se4 0.2468 0.6063 0.7500
Se5 0.2532 0.1063 0.7500
Se6 0.2532 0.8937 0.2500
Se7 0.5000 0.1408 0.2500
Se8 0.5000 0.8592 0.7500
Se9 0.7468 0.1063 0.7500
Se10 0.7468 0.8937 0.2500
Se11 0.7532 0.3937 0.2500
Se12 0.7532 0.6063 0.7500

## Properties
uncorrected formation energy: 58 kJ/mol of formula units
distance to the lowest polymorph of the same formula: 0.13 eV/f.u.
VASP energy: -3.2483 eV per atom

***

Crystalline Te4Se at its relaxed geometry, computed with PBE-GGA.

Cell lengths 5.4687, 5.4687, 5.4687 Å; angles 90.00, 90.00, 90.00 degrees
Sites, in units of the cell vectors:
Te1 0.0000 0.0000 0.0000
Te2 0.0000 0.5000 0.5000
Te3 0.5000 0.0000 0.5000
Te4 0.5000 0.5000 0.0000
Se1 0.5000 0.5000 0.5000

## Properties
uncorrected formation energy: 271 kJ/mol of formula units
distance to the lowest polymorph of the same formula: 1.67 eV/f.u.
VASP energy: -2.6482 eV per atom

***

Crystalline TeSe3 at its relaxed geometry, computed with PBE-GGA.

Cell lengths 5.6241, 5.6241, 5.6241 Å; angles 90.00, 90.00, 90.00 degrees
Sites, in units of the cell vectors:
Te1 0.0000 0.0000 0.0000
Te2 0.5000 0.5000 0.5000
Se1 0.0000 0.2500 0.5000
Se2 0.0000 0.7500 0.5000
Se3 0.2500 0.5000 0.0000
Se4 0.5000 0.0000 0.2500
Se5 0.5000 0.0000 0.7500
Se6 0.7500 0.5000 0.0000

## Properties
uncorrected formation energy: 202 kJ/mol of formula units
distance to the lowest polymorph of the same formula: 1.62 eV/f.u.
VASP energy: -2.8746 eV per atom

***

Crystalline Te2Se3 at its relaxed geometry, computed with PBE-GGA.

Cell lengths 7.5265, 7.4140, 9.4395 Å; angles 51.35, 50.29, 78.36 degrees
Sites, in units of the cell vectors:
Te1 0.1976 0.8024 0.4263
Te2 0.6763 0.8237 0.4476
Te3 0.8024 0.1976 0.5737
Te4 0.8237 0.6763 0.0524
Se1 0.0036 0.2605 0.1703
Se2 0.0797 0.6844 0.2464
Se3 0.2605 0.0036 0.5656
Se4 0.4264 0.4264 0.5736
Se5 0.6764 0.6764 0.8236
Se6 0.6844 0.0797 0.9895

## Properties
uncorrected formation energy: 46 kJ/mol of formula units
VASP energy: -3.2514 eV per atom

***

Crystalline TeSe4 at its relaxed geometry, computed with PBE-GGA.

Cell lengths 5.4108, 5.4108, 9.2854 Å; angles 90.00, 90.00, 90.00 degrees
Sites, in units of the cell vectors:
Te1 0.0000 0.0000 0.0000
Te2 0.5000 0.5000 0.5000
Se1 0.0000 0.0000 0.2984
Se2 0.0000 0.0000 0.7016
Se3 0.0000 0.5000 0.2500
Se4 0.0000 0.5000 0.7500
Se5 0.5000 0.0000 0.2500
Se6 0.5000 0.0000 0.7500
Se7 0.5000 0.5000 0.2016
Se8 0.5000 0.5000 0.7984

## Properties
uncorrected formation energy: 138 kJ/mol of formula units
distance to the lowest polymorph of the same formula: 1.07 eV/f.u.
VASP energy: -3.1300 eV per atom

***

Crystalline Te5Se4 at its relaxed geometry, computed with PBE-GGA.

Cell lengths 9.0675, 9.0675, 6.6735 Å; angles 90.00, 90.00, 120.00 degrees
Sites, in units of the cell vectors:
Te1 0.0000 0.2565 0.2500
Te2 0.0000 0.7435 0.7500
Te3 0.2565 0.0000 0.2500
Te4 0.2565 0.2565 0.7500
Te5 0.3333 0.6667 0.0000
Te6 0.3333 0.6667 0.5000
Te7 0.6667 0.3333 0.0000
Te8 0.6667 0.3333 0.5000
Te9 0.7435 0.0000 0.7500
Te10 0.7435 0.7435 0.2500
Se1 0.0000 0.0000 0.0000
Se2 0.0000 0.0000 0.5000
Se3 0.0000 0.3503 0.7500
Se4 0.0000 0.6497 0.2500
Se5 0.3503 0.0000 0.7500
Se6 0.3503 0.3503 0.2500
Se7 0.6497 0.0000 0.2500
Se8 0.6497 0.6497 0.7500

## Properties
uncorrected formation energy: 233 kJ/mol of formula units
distance to the lowest polymorph of the same formula: 0.88 eV/f.u.
VASP energy: -3.0260 eV per atom

***

Crystalline Te2Se3 at its relaxed geometry, computed with PBE-GGA.

Cell lengths 4.3684, 4.3684, 9.2500 Å; angles 90.00, 90.00, 120.00 degrees
Sites, in units of the cell vectors:
Te1 0.3333 0.6667 0.3175
Te2 0.6667 0.3333 0.6825
Se1 0.0000 0.0000 0.5000
Se2 0.3333 0.6667 0.8202
Se3 0.6667 0.3333 0.1798

## Properties
uncorrected formation energy: 53 kJ/mol of formula units
VASP energy: -3.2383 eV per atom

***

Crystalline TeSe3 at its relaxed geometry, computed with PBE-GGA.

Cell lengths 3.8686, 9.0742, 7.7481 Å; angles 90.00, 90.00, 90.00 degrees
Sites, in units of the cell vectors:
Te1 0.0000 0.0000 0.0000
Te2 0.5000 0.5000 0.0000
Se1 0.0000 0.0000 0.5000
Se2 0.0000 0.5000 0.2601
Se3 0.0000 0.5000 0.7399
Se4 0.5000 0.0000 0.2601
Se5 0.5000 0.0000 0.7399
Se6 0.5000 0.5000 0.5000

## Properties
uncorrected formation energy: 79 kJ/mol of formula units
distance to the lowest polymorph of the same formula: 0.35 eV/f.u.
VASP energy: -3.1937 eV per atom

***

Crystalline TeSe3 at its relaxed geometry, computed with PBE-GGA.

Cell lengths 13.2196, 4.0326, 4.0325 Å; angles 90.00, 107.69, 90.00 degrees
Sites, in units of the cell vectors:
Te1 0.0000 0.0000 0.0000
Te2 0.5000 0.5000 0.0000
Se1 0.0000 0.5000 0.5000
Se2 0.2393 0.0000 0.2393
Se3 0.2607 0.5000 0.7607
Se4 0.5000 0.0000 0.5000
Se5 0.7393 0.5000 0.2393
Se6 0.7607 0.0000 0.7607

## Properties
uncorrected formation energy: 52 kJ/mol of formula units
distance to the lowest polymorph of the same formula: 0.06 eV/f.u.
VASP energy: -3.2653 eV per atom

***

Crystalline TeSe3 at its relaxed geometry, computed with PBE-GGA.

Cell lengths 3.8755, 4.2205, 5.7156 Å; angles 90.00, 90.00, 90.00 degrees
Sites, in units of the cell vectors:
Te1 0.0000 0.0000 0.0000
Se1 0.0000 0.0000 0.5000
Se2 0.5000 0.5000 0.2495
Se3 0.5000 0.5000 0.7505

## Properties
uncorrected formation energy: 214 kJ/mol of formula units
distance to the lowest polymorph of the same formula: 1.75 eV/f.u.
VASP energy: -2.8437 eV per atom